A relaxed structure of Cu2TeAs. Source: the Alexandria database, functional PBE-GGA.

Properties
- uncorrected formation energy (kJ/mol of formula units) = 140
- offset from the most stable computed form (eV per atom) = 0.305

abc: 3.7611 4.3718 4.3718
angles: 90.00 90.00 90.00
Fractional coordinates of all 4 atoms:
As 0.5000 0.0000 0.5000
Cu 0.0000 0.0000 0.0000
Cu 0.0000 0.5000 0.5000
Te 0.5000 0.5000 0.0000

=====

A relaxed structure of BaZr2Cu. Source: the Alexandria database, functional PBE-GGA.

Properties
- E_form (meV/atom) = 518
- offset from the most stable computed form (eV per atom) = 0.375

abc: 5.4801 3.3362 5.5762
angles: 82.99 90.00 90.00
Fractional coordinates of all 4 atoms:
Ba 0.5000 0.2500 0.2500
Cu 0.5000 0.7500 0.7500
Zr 0.0000 0.9329 0.9675
Zr 0.0000 0.5671 0.5325

=====

A relaxed structure of HfNpCuO6. Source: the Alexandria database, functional PBE-GGA.

Properties
- uncorrected formation energy (kJ/mol of formula units) = -2032

abc: 5.5134 5.5134 8.9826
angles: 90.00 90.00 120.00
Fractional coordinates of all 18 atoms:
Hf 0.3333 0.6667 0.2500
Hf 0.6667 0.3333 0.7500
Np 0.6667 0.3333 0.2500
Np 0.3333 0.6667 0.7500
Cu 0.0000 0.0000 0.0000
Cu 0.0000 0.0000 0.5000
O 0.6502 0.6449 0.1334
O 0.9947 0.3498 0.1334
O 0.3498 0.9947 0.6334
O 0.0053 0.6502 0.8666
O 0.3551 0.3498 0.3666
O 0.9947 0.6449 0.3666
O 0.6449 0.9947 0.8666
O 0.6502 0.0053 0.3666
O 0.0053 0.3551 0.6334
O 0.3551 0.0053 0.1334
O 0.6449 0.6502 0.6334
O 0.3498 0.3551 0.8666